# 1
Material: Ba2InAg3Hg4
Method: DFT, GGA-PBE
State: optimized geometry

abc: 4.656 4.656 12.958
angles: 90.00 90.00 90.00
Positions (direct):
Ba1 0.000 0.500 0.247
Ba2 0.500 0.000 0.753
In1 0.000 0.000 0.500
Ag1 0.000 0.500 0.862
Ag2 0.500 0.000 0.138
Ag3 0.500 0.500 0.500
Hg1 0.000 0.000 0.000
Hg2 0.000 0.500 0.643
Hg3 0.500 0.000 0.357
Hg4 0.500 0.500 0.000

Summary:
density of states at the Fermi level = 5.1 states/eV per cell
E_form = -284 meV per atom
total magnetic moment = 0.000 μB/f.u.
crystal system = tetragonal
VASP energy = -1.918 eV/atom

=====

# 2
Material: NiAgP2
Method: DFT, GGA-PBE
State: optimized geometry

abc: 6.082 6.082 6.082
angles: 149.02 147.32 45.65
Positions (direct):
Ni1 0.000 0.000 0.000
Ag1 0.713 0.213 0.500
P1 0.365 0.865 0.500
P2 0.522 0.522 0.000

Summary:
density of states at the Fermi level = 1.8 states/eV per cell
polymorph energy (0 for the lowest one) = 0.713 eV per formula unit
E_form = 101 meV per atom
total magnetic moment = 0.000 μB/f.u.
crystal system = orthorhombic
VASP energy = -4.762 eV/atom

=====

# 3
Material: ZnTePS2
Method: DFT, GGA-PBE
State: optimized geometry

abc: 4.646 4.646 4.728
angles: 90.00 90.00 90.00
Positions (direct):
Zn1 0.000 0.000 0.000
Te1 0.500 0.500 0.500
P1 0.000 0.000 0.500
S1 0.000 0.500 0.000
S2 0.500 0.000 0.000

Summary:
uncorrected formation energy = 14.5 kcal/mol of atoms
density of states at the Fermi level = 4.8 states/eV per cell
polymorph energy (0 for the lowest one) = 0.000 eV per formula unit
total magnetic moment = 0.000 μB/f.u.
crystal system = tetragonal
VASP energy = -2.986 eV/atom